(1)
Density functional theory data (GGA-PBE) for a geometry-optimized ZrSiTe2 structure.

CIF file:
```
data_ZrSiTe2
_symmetry_space_group_name_H-M 'P 1'
_symmetry_Int_Tables_number 1
_cell_length_a 7.875
_cell_length_b 7.875
_cell_length_c 7.875
_cell_angle_alpha 130.69
_cell_angle_beta 130.69
_cell_angle_gamma 72.31
loop_
_symmetry_equiv_pos_as_xyz
'x,y,z'
loop_
_atom_site_label
_atom_site_type_symbol
_atom_site_fract_x
_atom_site_fract_y
_atom_site_fract_z
Zr1 Zr 0.000 0.000 0.000
Zr2 Zr 0.750 0.250 0.500
Si1 Si 0.250 0.750 0.500
Si2 Si 0.500 0.500 0.000
Te1 Te 0.132 0.625 0.007
Te2 Te 0.375 0.382 0.507
Te3 Te 0.618 0.125 0.993
Te4 Te 0.875 0.868 0.493
```

**Raw formation energy**: 0.20 eV/atom
**DOS at the Fermi energy**: 0.771 states/eV per atom
**Space group**: I-42d

=====

(2)
Density functional theory data (GGA-PBE) for a geometry-optimized Zr2SiTe structure.

CIF file:
```
data_Zr2SiTe
_symmetry_space_group_name_H-M 'P 1'
_symmetry_Int_Tables_number 1
_cell_length_a 7.131
_cell_length_b 7.131
_cell_length_c 7.131
_cell_angle_alpha 32.04
_cell_angle_beta 32.04
_cell_angle_gamma 32.04
loop_
_symmetry_equiv_pos_as_xyz
'x,y,z'
loop_
_atom_site_label
_atom_site_type_symbol
_atom_site_fract_x
_atom_site_fract_y
_atom_site_fract_z
Zr1 Zr 0.234 0.234 0.234
Zr2 Zr 0.766 0.766 0.766
Si1 Si 0.500 0.500 0.500
Te1 Te 0.000 0.000 0.000
```

**Raw formation energy**: -0.78 eV/atom
**DOS at the Fermi energy**: 0.565 states/eV per atom
**Distance to the lowest polymorph of the same formula**: 0.0 meV/atom
**Space group**: R-3m

=====

(3)
Density functional theory data (GGA-PBE) for a geometry-optimized ZrSiTe2 structure.

CIF file:
```
data_ZrSiTe2
_symmetry_space_group_name_H-M 'P 1'
_symmetry_Int_Tables_number 1
_cell_length_a 8.046
_cell_length_b 8.046
_cell_length_c 8.046
_cell_angle_alpha 27.38
_cell_angle_beta 27.38
_cell_angle_gamma 27.38
loop_
_symmetry_equiv_pos_as_xyz
'x,y,z'
loop_
_atom_site_label
_atom_site_type_symbol
_atom_site_fract_x
_atom_site_fract_y
_atom_site_fract_z
Zr1 Zr 0.000 0.000 0.000
Si1 Si 0.500 0.500 0.500
Te1 Te 0.246 0.246 0.246
Te2 Te 0.754 0.754 0.754
```

**Raw formation energy**: -0.13 eV/atom
**DOS at the Fermi energy**: 0.778 states/eV per atom
**Space group**: R-3m

=====

(4)
Density functional theory data (GGA-PBE) for a geometry-optimized Zr2SiTe structure.

CIF file:
```
data_Zr2SiTe
_symmetry_space_group_name_H-M 'P 1'
_symmetry_Int_Tables_number 1
_cell_length_a 4.890
_cell_length_b 4.890
_cell_length_c 4.890
_cell_angle_alpha 60.00
_cell_angle_beta 60.00
_cell_angle_gamma 60.00
loop_
_symmetry_equiv_pos_as_xyz
'x,y,z'
loop_
_atom_site_label
_atom_site_type_symbol
_atom_site_fract_x
_atom_site_fract_y
_atom_site_fract_z
Zr1 Zr 0.250 0.250 0.250
Zr2 Zr 0.750 0.750 0.750
Si1 Si 0.000 0.000 0.000
Te1 Te 0.500 0.500 0.500
```

**Raw formation energy**: -0.44 eV/atom
**DOS at the Fermi energy**: 1.679 states/eV per atom
**Distance to the lowest polymorph of the same formula**: 335.7 meV/atom
**Space group**: Fm-3m

=====

(5)
Density functional theory data (GGA-PBE) for a geometry-optimized ZrSiTe2 structure.

CIF file:
```
data_ZrSiTe2
_symmetry_space_group_name_H-M 'P 1'
_symmetry_Int_Tables_number 1
_cell_length_a 5.407
_cell_length_b 5.407
_cell_length_c 5.253
_cell_angle_alpha 95.30
_cell_angle_beta 95.30
_cell_angle_gamma 39.03
loop_
_symmetry_equiv_pos_as_xyz
'x,y,z'
loop_
_atom_site_label
_atom_site_type_symbol
_atom_site_fract_x
_atom_site_fract_y
_atom_site_fract_z
Zr1 Zr 0.000 0.000 0.000
Si1 Si 0.500 0.500 0.500
Te1 Te 0.289 0.289 0.768
Te2 Te 0.711 0.711 0.232
```

**Raw formation energy**: -0.10 eV/atom
**DOS at the Fermi energy**: 0.476 states/eV per atom
**Space group**: C2/m

=====

(6)
Density functional theory data (GGA-PBE) for a geometry-optimized ZrSiTe2 structure.

CIF file:
```
data_ZrSiTe2
_symmetry_space_group_name_H-M 'P 1'
_symmetry_Int_Tables_number 1
_cell_length_a 3.642
_cell_length_b 3.690
_cell_length_c 7.094
_cell_angle_alpha 90.00
_cell_angle_beta 98.12
_cell_angle_gamma 90.00
loop_
_symmetry_equiv_pos_as_xyz
'x,y,z'
loop_
_atom_site_label
_atom_site_type_symbol
_atom_site_fract_x
_atom_site_fract_y
_atom_site_fract_z
Zr1 Zr 0.000 0.000 0.000
Si1 Si 0.000 0.000 0.500
Te1 Te 0.419 0.500 0.764
Te2 Te 0.581 0.500 0.236
```

**Raw formation energy**: -0.18 eV/atom
**DOS at the Fermi energy**: 0.560 states/eV per atom
**Space group**: P2/m

=====

(7)
Density functional theory data (GGA-PBE) for a geometry-optimized Zr2SiTe structure.

CIF file:
```
data_Zr2SiTe
_symmetry_space_group_name_H-M 'P 1'
_symmetry_Int_Tables_number 1
_cell_length_a 5.708
_cell_length_b 5.708
_cell_length_c 5.708
_cell_angle_alpha 141.90
_cell_angle_beta 132.17
_cell_angle_gamma 62.72
loop_
_symmetry_equiv_pos_as_xyz
'x,y,z'
loop_
_atom_site_label
_atom_site_type_symbol
_atom_site_fract_x
_atom_site_fract_y
_atom_site_fract_z
Zr1 Zr 0.000 0.000 0.000
Zr2 Zr 0.732 0.232 0.500
Si1 Si 0.518 0.518 0.000
Te1 Te 0.241 0.741 0.500
```

**Raw formation energy**: -0.37 eV/atom
**DOS at the Fermi energy**: 0.855 states/eV per atom
**Distance to the lowest polymorph of the same formula**: 410.3 meV/atom
**Space group**: Imm2

=====

(8)
Density functional theory data (GGA-PBE) for a geometry-optimized ZrSi2Te structure.

CIF file:
```
data_ZrSi2Te
_symmetry_space_group_name_H-M 'P 1'
_symmetry_Int_Tables_number 1
_cell_length_a 3.266
_cell_length_b 3.266
_cell_length_c 8.345
_cell_angle_alpha 90.00
_cell_angle_beta 90.00
_cell_angle_gamma 103.13
loop_
_symmetry_equiv_pos_as_xyz
'x,y,z'
loop_
_atom_site_label
_atom_site_type_symbol
_atom_site_fract_x
_atom_site_fract_y
_atom_site_fract_z
Zr1 Zr 0.000 0.000 0.000
Si1 Si 0.000 0.000 0.624
Si2 Si 0.500 0.500 0.781
Te1 Te 0.500 0.500 0.256
```

**Raw formation energy**: -0.07 eV/atom
**DOS at the Fermi energy**: 0.503 states/eV per atom
**Distance to the lowest polymorph of the same formula**: 284.2 meV/atom
**Space group**: Cmm2

=====

(9)
Density functional theory data (GGA-PBE) for a geometry-optimized ZrSi2Te structure.

CIF file:
```
data_ZrSi2Te
_symmetry_space_group_name_H-M 'P 1'
_symmetry_Int_Tables_number 1
_cell_length_a 5.617
_cell_length_b 5.617
_cell_length_c 5.617
_cell_angle_alpha 137.70
_cell_angle_beta 137.70
_cell_angle_gamma 61.36
loop_
_symmetry_equiv_pos_as_xyz
'x,y,z'
loop_
_atom_site_label
_atom_site_type_symbol
_atom_site_fract_x
_atom_site_fract_y
_atom_site_fract_z
Zr1 Zr 0.000 0.000 0.000
Si1 Si 0.250 0.750 0.500
Si2 Si 0.500 0.500 0.000
Te1 Te 0.750 0.250 0.500
```

**Raw formation energy**: 0.06 eV/atom
**DOS at the Fermi energy**: 0.648 states/eV per atom
**Distance to the lowest polymorph of the same formula**: 417.3 meV/atom
**Space group**: I-4m2

=====

(10)
Density functional theory data (GGA-PBE) for a geometry-optimized ZrSi2Te structure.

CIF file:
```
data_ZrSi2Te
_symmetry_space_group_name_H-M 'P 1'
_symmetry_Int_Tables_number 1
_cell_length_a 7.451
_cell_length_b 7.451
_cell_length_c 7.451
_cell_angle_alpha 130.04
_cell_angle_beta 130.04
_cell_angle_gamma 73.34
loop_
_symmetry_equiv_pos_as_xyz
'x,y,z'
loop_
_atom_site_label
_atom_site_type_symbol
_atom_site_fract_x
_atom_site_fract_y
_atom_site_fract_z
Zr1 Zr 0.000 0.000 0.000
Zr2 Zr 0.750 0.250 0.500
Si1 Si 0.118 0.625 0.993
Si2 Si 0.375 0.368 0.493
Si3 Si 0.632 0.125 0.007
Si4 Si 0.875 0.882 0.507
Te1 Te 0.250 0.750 0.500
Te2 Te 0.500 0.500 0.000
```

**Raw formation energy**: 0.51 eV/atom
**DOS at the Fermi energy**: 0.451 states/eV per atom
**Distance to the lowest polymorph of the same formula**: 862.6 meV/atom
**Space group**: I-42d

=====

(11)
Density functional theory data (GGA-PBE) for a geometry-optimized ZrSiTe2 structure.

CIF file:
```
data_ZrSiTe2
_symmetry_space_group_name_H-M 'P 1'
_symmetry_Int_Tables_number 1
_cell_length_a 5.068
_cell_length_b 5.068
_cell_length_c 3.607
_cell_angle_alpha 90.00
_cell_angle_beta 90.00
_cell_angle_gamma 94.90
loop_
_symmetry_equiv_pos_as_xyz
'x,y,z'
loop_
_atom_site_label
_atom_site_type_symbol
_atom_site_fract_x
_atom_site_fract_y
_atom_site_fract_z
Zr1 Zr 0.000 0.000 0.000
Si1 Si 0.500 0.500 0.000
Te1 Te 0.000 0.500 0.500
Te2 Te 0.500 0.000 0.500
```

**Raw formation energy**: 0.01 eV/atom
**DOS at the Fermi energy**: 0.621 states/eV per atom
**Space group**: Cmmm

=====

(12)
Density functional theory data (GGA-PBE) for a geometry-optimized Zr2SiTe structure.

CIF file:
```
data_Zr2SiTe
_symmetry_space_group_name_H-M 'P 1'
_symmetry_Int_Tables_number 1
_cell_length_a 4.921
_cell_length_b 4.921
_cell_length_c 4.921
_cell_angle_alpha 60.00
_cell_angle_beta 60.00
_cell_angle_gamma 60.00
loop_
_symmetry_equiv_pos_as_xyz
'x,y,z'
loop_
_atom_site_label
_atom_site_type_symbol
_atom_site_fract_x
_atom_site_fract_y
_atom_site_fract_z
Zr1 Zr 0.000 0.000 0.000
Zr2 Zr 0.250 0.250 0.250
Si1 Si 0.500 0.500 0.500
Te1 Te 0.750 0.750 0.750
```

**Raw formation energy**: 0.03 eV/atom
**DOS at the Fermi energy**: 1.069 states/eV per atom
**Distance to the lowest polymorph of the same formula**: 804.5 meV/atom
**Space group**: F-43m

=====

Q: Which value of DOS at the Fermi energy does entry 8 give?
A: 0.503 states/eV per atom